AsRu2Pt | PBE-GGA | relaxed

- total magnetic moment (μB/f.u.) = 0.00
- symmetry = No. 123
- E (eV per cell) = -29.00
- density of states at the Fermi level (states/eV per cell) = 5.228

Unit cell a=2.9597 b=2.9597 c=6.6866 alpha=90.00 beta=90.00 gamma=90.00
With the nearest neighbours (Å) after each atom.
Sites, in units of the cell vectors:
As: 0.0000 0.0000 0.0000  8 Ru 2.55
Ru: 0.5000 0.5000 0.2171  4 As 2.55, 4 Pt 2.82
Ru: 0.5000 0.5000 0.7829  4 As 2.55, 4 Pt 2.82
Pt: 0.0000 0.0000 0.5000  8 Ru 2.82, 4 Pt 2.96